No. 1
Below is crystalline Ba2LiMg at its relaxed geometry, with properties calculated at the GGA-PBEsol level.

Summary:
As for the space group: Imm2, No. 44. The density of states at the Fermi level is 4.41 states/eV per cell. The calculation puts the energy at -1.980 eV/atom. Its formation enthalpy at 0 K is 15.8 meV per atom. The calculation puts the theoretical density at 3.285 g/cm3.

abc: 4.172 6.084 7.122
angles: 115.28 107.03 90.00
Atoms (fractional coordinates):
Mg 0.785 0.285 0.570
Ba 0.026 0.026 0.053
Ba 0.227 0.727 0.454
Li 0.462 0.462 0.923

No. 2
Below is crystalline Ba2LiMg at its relaxed geometry, with properties calculated at the GGA-PBEsol level.

Summary:
As for the space group: I-4m2, No. 119. The density of states at the Fermi level is 3.71 states/eV per cell. The calculation puts the energy at -1.972 eV/atom. Its formation enthalpy at 0 K is 23.7 meV per atom. The calculation puts the theoretical density at 3.631 g/cm3.

abc: 5.830 5.826 5.830
angles: 120.02 90.00 120.02
Atoms (fractional coordinates):
Mg 0.250 0.500 0.750
Ba 0.000 0.000 0.000
Ba 0.750 0.500 0.250
Li 0.500 0.000 0.500

No. 3
Below is crystalline BaLi4Mg at its relaxed geometry, with properties calculated at the GGA-PBEsol level.

Summary:
As for the space group: F-43m, No. 216. The density of states at the Fermi level is 4.61 states/eV per cell. The calculation puts the energy at -1.974 eV/atom. Its formation enthalpy at 0 K is -18.8 meV per atom. The calculation puts the theoretical density at 2.067 g/cm3.

abc: 5.992 5.992 5.992
angles: 60.00 60.00 60.00
Atoms (fractional coordinates):
Mg 0.750 0.750 0.750
Ba 0.000 0.000 0.000
Li 0.378 0.378 0.378
Li 0.378 0.378 0.865
Li 0.865 0.378 0.378
Li 0.378 0.865 0.378

No. 4
Below is crystalline Ba2LiMg at its relaxed geometry, with properties calculated at the GGA-PBEsol level.

Summary:
As for the space group: Cm, No. 8. The density of states at the Fermi level is 4.00 states/eV per cell. The calculation puts the energy at -1.984 eV/atom. Its formation enthalpy at 0 K is 11.2 meV per atom. The calculation puts the theoretical density at 3.271 g/cm3.

abc: 4.037 6.229 6.879
angles: 109.19 107.06 90.00
Atoms (fractional coordinates):
Mg 0.217 0.754 0.435
Ba 0.973 0.943 0.946
Ba 0.772 0.300 0.544
Li 0.537 0.503 0.075

No. 5
Below is crystalline BaLiMg3 at its relaxed geometry, with properties calculated at the GGA-PBEsol level.

Summary:
As for the space group: Pm-3m, No. 221. The density of states at the Fermi level is 4.36 states/eV per cell. The offset from the most stable computed form is 885 meV/atom. The calculation puts the energy at -0.914 eV/atom. Its formation enthalpy at 0 K is 939.4 meV per atom. The calculation puts the theoretical density at 1.419 g/cm3.

abc: 6.335 6.335 6.335
angles: 90.00 90.00 90.00
Atoms (fractional coordinates):
Mg 0.000 0.500 0.000
Mg 0.000 0.000 0.500
Mg 0.500 0.000 0.000
Ba 0.000 0.000 0.000
Li 0.500 0.500 0.500

No. 6
Below is crystalline Ba2LiMg2 at its relaxed geometry, with properties calculated at the GGA-PBEsol level.

Summary:
As for the space group: P4/mbm, No. 127. The density of states at the Fermi level is 10.64 states/eV per cell. The calculation puts the energy at -1.893 eV/atom. Its formation enthalpy at 0 K is 46.3 meV per atom. The calculation puts the theoretical density at 2.909 g/cm3.

abc: 5.659 8.162 8.162
angles: 90.00 90.00 90.00
Atoms (fractional coordinates):
Mg 0.000 0.368 0.868
Mg 0.000 0.868 0.632
Mg 0.000 0.632 0.132
Mg 0.000 0.132 0.368
Ba 0.500 0.173 0.673
Ba 0.500 0.673 0.827
Ba 0.500 0.827 0.327
Ba 0.500 0.327 0.173
Li 0.000 0.000 0.000
Li 0.000 0.500 0.500

No. 7
Below is crystalline Ba2LiMg at its relaxed geometry, with properties calculated at the GGA-PBEsol level.

Summary:
As for the space group: P4/mmm, No. 123. The density of states at the Fermi level is 4.55 states/eV per cell. The calculation puts the energy at -2.011 eV/atom. Its formation enthalpy at 0 K is -15.8 meV per atom. The calculation puts the theoretical density at 3.162 g/cm3.

abc: 4.339 4.339 8.534
angles: 90.00 90.00 90.00
Atoms (fractional coordinates):
Mg 0.500 0.500 0.000
Ba 0.000 0.000 0.242
Ba 0.000 0.000 0.758
Li 0.500 0.500 0.500

No. 8
Below is crystalline BaLi2MgP2O8 at its relaxed geometry, with properties calculated at the GGA-PBEsol level.

Summary:
As for the uncorrected formation energy: -2655 meV per atom. As for the space group: P-3, No. 147. The density of states at the Fermi level is 0.00 states/eV per cell. The calculation puts the energy at -7.039 eV/atom. The calculation puts the theoretical density at 3.914 g/cm3.

abc: 5.037 5.037 7.058
angles: 90.00 90.00 120.00
Atoms (fractional coordinates):
Ba 0.000 0.000 0.500
Li 0.667 0.333 0.240
Li 0.333 0.667 0.760
Mg 0.000 0.000 0.000
O 0.667 0.333 0.530
O 0.333 0.667 0.470
O 0.702 0.642 0.820
O 0.940 0.298 0.820
O 0.358 0.060 0.820
O 0.298 0.358 0.180
O 0.060 0.702 0.180
O 0.642 0.940 0.180
P 0.667 0.333 0.750
P 0.333 0.667 0.250

Question: The highest theoretical density belongs to which entry?
Answer: BaLi2MgP2O8

Question: The highest density of states at the Fermi level belongs to which entry?
Answer: Ba2LiMg2